Crystalline Nd4Te2AsAu at its relaxed geometry, computed with PBE.

```
Nd4Te2AsAu
1.0
7.677 0.000 0.000
0.000 4.332 0.000
-2.468 0.000 7.276
Nd Te As Au
4 2 1 1
Cartesian
1.171 0.000 1.711
-0.074 2.166 5.442
5.283 2.166 1.834
4.039 0.000 5.565
3.839 0.000 0.000
2.605 2.166 3.638
0.000 2.166 0.000
-1.234 0.000 3.638
```

Properties
- magnetization (μB/cell) = 0.00
- E_form (uncorrected) (eV per atom) = -1.29
- crystal system = monoclinic
- space group = No. 10